# 1
4
Lattice="1.771 1.022 7.856 -1.771 1.022 7.856 0.000 -2.045 7.856" Properties=species:S:1:pos:R:3 comment="MnSb2Cl | Alexandria | GGA-PBEsol | relaxed" sg=R-3m total_magnetization_mub_per_fu=2.11 polymorph_energy_ev_per_atom=0.032 e_form_raw_ev_per_atom=-0.01 pbc="T T T"
Mn 0.000 0.000 0.000
Sb 0.000 0.000 6.222
Sb 0.000 0.000 17.347
Cl 0.000 0.000 11.785

***

# 2
8
Lattice="-2.448 2.448 3.328 2.448 -2.448 3.328 2.448 2.448 -3.328" Properties=species:S:1:pos:R:3 comment="Li2HRu | Alexandria | GGA-PBEsol | relaxed" total_energy_ev_per_atom=-3.825 sg=I-42d total_magnetization_mub_per_fu=0.93 pbc="T T T"
Li 0.321 1.224 0.832
Li -1.224 2.127 2.496
Li -0.321 3.672 0.832
Li 1.224 2.769 2.496
H 0.000 0.000 0.000
H 0.000 2.448 1.664
Ru 2.448 0.000 1.664
Ru 0.000 0.000 3.328

***

# 3
5
Lattice="5.152 0.000 0.000 0.000 5.152 0.000 0.000 0.000 4.958" Properties=species:S:1:pos:R:3 comment="RbTcAg2Au | Alexandria | GGA-PBEsol | relaxed" sg=P4/mmm total_magnetization_mub_per_fu=1.37 e_form_ev_per_fu=4.713 pbc="T T T"
Rb 0.000 0.000 0.000
Tc 2.576 2.576 2.479
Ag 0.000 2.576 2.479
Ag 2.576 0.000 2.479
Au 2.576 2.576 0.000

***

# 4
5
Lattice="7.090 0.000 0.000 0.000 7.090 0.000 0.000 0.000 7.090" Properties=species:S:1:pos:R:3 comment="Cs3TeSe | Alexandria | GGA-PBEsol | relaxed" sg=Pm-3m total_magnetization_mub_per_fu=0.92 e_form_raw_ev_per_atom=-0.51 pbc="T T T"
Cs 0.000 0.000 3.545
Cs 0.000 3.545 0.000
Cs 3.545 0.000 0.000
Te 0.000 0.000 0.000
Se 3.545 3.545 3.545

***

# 5
13
Lattice="-1.980 1.980 12.242 1.980 -1.980 12.242 1.980 1.980 -12.242" Properties=species:S:1:pos:R:3 comment="Eu2Cu6P5 | Alexandria | GGA-PBEsol | relaxed" sg=I4/mmm total_magnetization_mub_per_fu=13.61 e_form_ev_per_fu=-7.431 pbc="T T T"
Eu 0.000 0.000 3.651
Eu 0.000 0.000 20.833
Cu 1.980 0.000 1.289
Cu 1.980 0.000 6.121
Cu 1.980 0.000 10.953
Cu 0.000 1.980 1.289
Cu 0.000 1.980 6.121
Cu 0.000 1.980 10.953
P 0.000 0.000 0.000
P 0.000 0.000 7.399
P 0.000 0.000 9.672
P 0.000 0.000 14.812
P 0.000 0.000 17.086

***

# 6
5
Lattice="-2.662 2.662 8.060 2.662 -2.662 8.060 2.662 2.662 -8.060" Properties=species:S:1:pos:R:3 comment="Ba2NaBr2 | Alexandria | GGA-PBEsol | relaxed" sg=I4/mmm total_magnetization_mub_per_fu=0.00 e_form_raw_ev_per_atom=-1.22 pbc="T T T"
Ba 0.000 0.000 2.187
Ba 0.000 0.000 13.932
Na 0.000 0.000 8.060
Br 2.662 0.000 4.030
Br 0.000 2.662 4.030